# Ce3H12Rh5, optimized geometry, DFT PBE-GGA
# total DFT energy (no corrections)	-100.99	eV/f.u.
# DOS at the Fermi energy	0.883	states/eV per atom
# space-group type	Ia-3d, No. 230
# magnetic moment	0.14	μB per atom
data_Ce3H12Rh5
_space_group_name_H-M_alt 'P 1'
_space_group_IT_number 1
_cell_length_a 10.2210
_cell_length_b 10.2210
_cell_length_c 10.2210
_cell_angle_alpha 109.47
_cell_angle_beta 109.47
_cell_angle_gamma 109.47
loop_
_space_group_symop_operation_xyz
'x,y,z'
loop_
_atom_site_label
_atom_site_type_symbol
_atom_site_fract_x
_atom_site_fract_y
_atom_site_fract_z
H1 H 0.0099 0.5957 0.6848
H2 H 0.8251 0.9109 0.3152
H3 H 0.1749 0.0858 0.9901
Rh1 Rh 0.3750 0.1250 0.7500
H4 H 0.0957 0.6848 0.5099
Rh2 Rh 0.6250 0.7500 0.8750
H5 H 0.5891 0.6848 0.6749
Rh3 Rh 0.7500 0.6250 0.3750
H6 H 0.0858 0.1749 0.4901
H7 H 0.8251 0.9142 0.0099
H8 H 0.4901 0.6749 0.0858
Ce1 Ce 0.3750 0.6250 0.2500
H9 H 0.9109 0.0858 0.5957
H10 H 0.5957 0.5858 0.9109
Rh4 Rh 0.5000 0.5000 0.0000
H11 H 0.4109 0.3152 0.3251
Rh5 Rh 0.3750 0.2500 0.1250
H12 H 0.6848 0.5891 0.1749
Rh6 Rh 0.2500 0.3750 0.6250
H13 H 0.3152 0.9043 0.9901
H14 H 0.9901 0.4043 0.3152
H15 H 0.1848 0.6749 0.0891
Rh7 Rh 0.0000 0.5000 0.0000
Ce2 Ce 0.6250 0.3750 0.7500
H16 H 0.3251 0.8152 0.4109
Ce3 Ce 0.1250 0.2500 0.8750
H17 H 0.0891 0.1749 0.1848
Rh8 Rh 0.8750 0.2500 0.6250
Rh9 Rh 0.6250 0.8750 0.2500
H18 H 0.9142 0.8251 0.5099
Ce4 Ce 0.7500 0.3750 0.1250
Ce5 Ce 0.1250 0.8750 0.7500
H19 H 0.5099 0.1848 0.0957
H20 H 0.4043 0.9901 0.8152
H21 H 0.9901 0.5858 0.1749
Ce6 Ce 0.7500 0.8750 0.6250
H22 H 0.0858 0.9109 0.0957
H23 H 0.1848 0.5099 0.5957
Rh10 Rh 0.5000 0.0000 0.5000
H24 H 0.5957 0.0099 0.1848
H25 H 0.9043 0.3152 0.4901
Rh11 Rh 0.0000 0.0000 0.0000
H26 H 0.6848 0.0957 0.0099
Ce7 Ce 0.6250 0.2500 0.3750
H27 H 0.0957 0.4109 0.0858
H28 H 0.5099 0.3251 0.9142
Ce8 Ce 0.8750 0.1250 0.2500
Rh12 Rh 0.5000 0.0000 0.0000
H29 H 0.4142 0.4043 0.5891
H30 H 0.8152 0.3251 0.9109
H31 H 0.5858 0.5957 0.4109
H32 H 0.0099 0.4142 0.8251
Ce9 Ce 0.3750 0.7500 0.6250
H33 H 0.9043 0.5891 0.9142
Rh13 Rh 0.1250 0.3750 0.2500
H34 H 0.4109 0.0957 0.5858
H35 H 0.3152 0.4109 0.8251
H36 H 0.0891 0.9142 0.4043
H37 H 0.3251 0.5099 0.4142
Rh14 Rh 0.2500 0.8750 0.1250
Rh15 Rh 0.8750 0.6250 0.7500
Ce10 Ce 0.2500 0.6250 0.8750
H38 H 0.6749 0.1848 0.5891
H39 H 0.6749 0.4901 0.5858
Rh16 Rh 0.0000 0.5000 0.5000
H40 H 0.4142 0.0099 0.3251
H41 H 0.4043 0.4142 0.0891
H42 H 0.8152 0.4901 0.4043
H43 H 0.9109 0.8251 0.8152
Ce11 Ce 0.8750 0.7500 0.1250
H44 H 0.9142 0.0891 0.9043
H45 H 0.5858 0.9901 0.6749
Rh17 Rh 0.1250 0.7500 0.3750
Rh18 Rh 0.0000 0.0000 0.5000
H46 H 0.5891 0.9043 0.4142
Rh19 Rh 0.7500 0.1250 0.8750
H47 H 0.4901 0.8152 0.9043
Ce12 Ce 0.2500 0.1250 0.3750
Rh20 Rh 0.5000 0.5000 0.5000
H48 H 0.1749 0.0891 0.6848